Computed, not measured: an optimized crystal structure of LaNdHoSc at the GGA-PBE level of DFT.

The total magnetic moment is 0.00 μB per formula unit. The value obtained for the total energy is -0.372 Ry/atom. The calculation puts the formation energy at 89 meV per atom. Its theoretical density is 6.40 Mg/m³.

It has space group F-43m (No. 216), with a = 7.9971 Å, b = 7.9971 Å, c = 7.9971 Å, α = 90.00°, β = 90.00° and γ = 90.00°. The asymmetric unit holds La at (0.0000, 0.0000, 0.0000), Nd at (0.0000, 0.0000, 0.5000), Ho at (0.2500, 0.2500, 0.2500) and Sc at (0.2500, 0.2500, 0.7500).

Computed, not measured: an optimized crystal structure of La5Nd2HoSc at the GGA-PBE level of DFT.

The total magnetic moment is 0.00 μB per formula unit. The value obtained for the total energy is -0.348 Ry/atom. The calculation puts the formation energy at 272 meV per atom. Its theoretical density is 6.24 Mg/m³.

It has space group I4/mcm (No. 140), with a = 8.4841 Å, b = 8.4841 Å, c = 17.6523 Å, α = 90.00°, β = 90.00° and γ = 90.00°. The asymmetric unit holds La at (0.0000, 0.0000, 0.0000), La at (0.2214, 0.2786, 0.1455), Nd at (0.1267, 0.3733, 0.5000), Ho at (0.0000, 0.0000, 0.2500) and Sc at (0.0000, 0.5000, 0.2500).

Computed, not measured: an optimized crystal structure of La2Nd5HoSc at the GGA-PBE level of DFT.

The total magnetic moment is 0.00 μB per formula unit. The value obtained for the total energy is -0.356 Ry/atom. The calculation puts the formation energy at 110 meV per atom. Its theoretical density is 6.45 Mg/m³.

It has space group Cmcm (No. 63), with a = 5.4902 Å, b = 22.1928 Å, c = 10.2181 Å, α = 90.00°, β = 90.00° and γ = 90.00°. The asymmetric unit holds La at (0.0000, 0.1164, 0.0052), Nd at (0.0000, 0.0010, 0.7500), Nd at (0.0000, 0.2759, 0.0635), Nd at (0.0000, 0.3719, 0.7500), Nd at (0.0000, 0.5000, 0.0000), Ho at (0.0000, 0.3966, 0.2500) and Sc at (0.0000, 0.2125, 0.7500).

Computed, not measured: an optimized crystal structure of LaNd4Ho2Sc at the GGA-PBE level of DFT.

The total magnetic moment is 0.00 μB per formula unit. The value obtained for the total energy is -0.361 Ry/atom. The calculation puts the formation energy at 30 meV per atom. Its theoretical density is 6.88 Mg/m³.

It has space group Pmmm (No. 47), with a = 5.0784 Å, b = 5.0977 Å, c = 10.1653 Å, α = 90.00°, β = 90.00° and γ = 90.00°. The asymmetric unit holds La at (0.0000, 0.0000, 0.0000), Nd at (0.0000, 0.5000, 0.2500), Nd at (0.5000, 0.0000, 0.2502), Ho at (0.0000, 0.0000, 0.5000), Ho at (0.5000, 0.5000, 0.5000) and Sc at (0.5000, 0.5000, 0.0000).

Computed, not measured: an optimized crystal structure of La4Nd2HoSc at the GGA-PBE level of DFT.

The total magnetic moment is 0.00 μB per formula unit. The value obtained for the total energy is -0.367 Ry/atom. The calculation puts the formation energy at 29 meV per atom. Its theoretical density is 6.44 Mg/m³.

It has space group Pmmm (No. 47), with a = 5.1642 Å, b = 5.1966 Å, c = 10.1309 Å, α = 90.00°, β = 90.00° and γ = 90.00°. The asymmetric unit holds La at (0.0000, 0.0000, 0.2458), La at (0.5000, 0.5000, 0.2460), Nd at (0.0000, 0.5000, 0.0000), Nd at (0.5000, 0.0000, 0.5000), Ho at (0.0000, 0.5000, 0.5000) and Sc at (0.5000, 0.0000, 0.0000).

Computed, not measured: an optimized crystal structure of LaNd2Ho5Sc at the GGA-PBE level of DFT.

The total magnetic moment is 0.00 μB per formula unit. The value obtained for the total energy is -0.337 Ry/atom. The calculation puts the formation energy at 268 meV per atom. Its theoretical density is 7.43 Mg/m³.

It has space group I4/mcm (No. 140), with a = 8.6775 Å, b = 8.6775 Å, c = 15.4020 Å, α = 90.00°, β = 90.00° and γ = 90.00°. The asymmetric unit holds La at (0.0000, 0.0000, 0.2500), Nd at (0.1191, 0.3809, 0.0000), Ho at (0.0000, 0.0000, 0.0000), Ho at (0.2053, 0.2947, 0.3609) and Sc at (0.0000, 0.5000, 0.2500).

Computed, not measured: an optimized crystal structure of LaNdHoSe3 at the GGA-PBE level of DFT.

The formation energy (no corrections) comes out at -1789 meV/atom. The total magnetic moment is 0.00 μB per formula unit. The value obtained for the total energy is -0.434 Ry/atom. Its theoretical density is 7.15 Mg/m³.

It has space group P2_1/m (No. 11), with a = 7.3041 Å, b = 4.0786 Å, c = 10.9507 Å, α = 90.00°, β = 102.79° and γ = 90.00°. The asymmetric unit holds La at (0.1546, 0.2500, 0.1988), Nd at (0.3779, 0.2500, 0.8675), Ho at (0.2681, 0.7500, 0.5585), Se at (0.0454, 0.2500, 0.6539), Se at (0.2147, 0.7500, 0.0046) and Se at (0.4472, 0.7500, 0.3507).

Computed, not measured: an optimized crystal structure of La3Nd2HoSe6 at the GGA-PBE level of DFT.

The formation energy (no corrections) comes out at -1906 meV/atom. The total magnetic moment is 0.00 μB per formula unit. The value obtained for the total energy is -0.445 Ry/atom. Its theoretical density is 6.89 Mg/m³.

It has space group C2/m (No. 12), with a = 7.3362 Å, b = 12.7434 Å, c = 7.3514 Å, α = 90.00°, β = 109.51° and γ = 90.00°. The asymmetric unit holds La at (0.0000, 0.0000, 0.0000), La at (0.0000, 0.3288, 0.0000), Nd at (0.0000, 0.1667, 0.5000), Ho at (0.0000, 0.5000, 0.5000), Se at (0.2410, 0.3382, 0.7382) and Se at (0.2426, 0.5000, 0.2575).

Computed, not measured: an optimized crystal structure of LaNdHo2Se4 at the GGA-PBE level of DFT.

The formation energy (no corrections) comes out at -1828 meV/atom. The total magnetic moment is 0.00 μB per formula unit. The value obtained for the total energy is -0.436 Ry/atom. Its theoretical density is 7.55 Mg/m³.

It has space group P2/m (No. 10), with a = 7.1203 Å, b = 4.0874 Å, c = 7.4001 Å, α = 90.00°, β = 108.55° and γ = 90.00°. The asymmetric unit holds La at (0.0000, 0.0000, 0.0000), Nd at (0.5000, 0.5000, 0.0000), Ho at (0.0000, 0.5000, 0.5000), Ho at (0.5000, 0.0000, 0.5000), Se at (0.2455, 0.0000, 0.7318) and Se at (0.2587, 0.5000, 0.2698).

Computed, not measured: an optimized crystal structure of La2NdHo3Se6 at the GGA-PBE level of DFT.

The formation energy (no corrections) comes out at -1842 meV/atom. The total magnetic moment is 0.00 μB per formula unit. The value obtained for the total energy is -0.437 Ry/atom. Its theoretical density is 7.50 Mg/m³.

It has space group C2/m (No. 12), with a = 18.3130 Å, b = 4.1113 Å, c = 8.4717 Å, α = 90.00°, β = 105.21° and γ = 90.00°. The asymmetric unit holds La at (0.1656, 0.0000, 0.3314), Nd at (0.0000, 0.5000, 0.0000), Ho at (0.0000, 0.5000, 0.5000), Ho at (0.1668, 0.0000, 0.8331), Se at (0.0052, 0.0000, 0.7413), Se at (0.1623, 0.5000, 0.5946) and Se at (0.1700, 0.5000, 0.0699).

Computed, not measured: an optimized crystal structure of La2NdHoSe6 at the GGA-PBE level of DFT.

The formation energy (no corrections) comes out at -1911 meV/atom. The total magnetic moment is 0.00 μB per formula unit. The value obtained for the total energy is -0.435 Ry/atom. Its theoretical density is 5.51 Mg/m³.

It has space group R3 (No. 146, hexagonal axes), with a = 7.4995 Å, b = 7.4995 Å, c = 19.6857 Å, α = 90.00°, β = 90.00° and γ = 120.00°. The asymmetric unit holds La at (0.0000, 0.0000, 0.0000), La at (0.0000, 0.0000, 0.4978), Nd at (0.0000, 0.0000, 0.2929), Ho at (0.0000, 0.0000, 0.7959), Se at (0.0137, 0.7144, 0.8917) and Se at (0.0187, 0.3775, 0.0598).

Computed, not measured: an optimized crystal structure of La4Nd3HoSe8 at the GGA-PBE level of DFT.

The formation energy (no corrections) comes out at -1904 meV/atom. The total magnetic moment is 0.00 μB per formula unit. The value obtained for the total energy is -0.445 Ry/atom. Its theoretical density is 6.82 Mg/m³.

It has space group R-3m (No. 166, hexagonal axes), with a = 8.5074 Å, b = 8.5074 Å, c = 20.8065 Å, α = 90.00°, β = 90.00° and γ = 120.00°. The asymmetric unit holds La at (0.0000, 0.0000, 0.0000), La at (0.0000, 0.5000, 0.0000), Nd at (0.0000, 0.5000, 0.5000), Ho at (0.0000, 0.0000, 0.5000), Se at (0.0000, 0.0000, 0.2485) and Se at (0.0080, 0.5040, 0.2465).